This record from Alexandria via LeMat-Bulk describes an optimized crystal structure of CeTmNiGe. The functional is PBE.

The structure in POSCAR format:
```
CeTmNiGe
1.0
0.0000 3.4981 3.4981
3.4981 0.0000 3.4981
3.4981 3.4981 0.0000
Ce Tm Ni Ge
1 1 1 1
Cartesian
0.0000 0.0000 0.0000
3.4981 3.4981 3.4981
5.2471 5.2471 5.2471
1.7490 1.7490 1.7490
```

E_form ... -0.45 eV per atom
DOS(E_F) ... 7.15 states/eV/cell
Total energy ... -5.66 eV per atom
Calculated volume ... 85.6 Å³ per cell
Size of the total moment ... 0.7 μB per formula unit


This record from Alexandria via LeMat-Bulk describes an optimized crystal structure of SrHo2RuN4. The functional is PBE.

The structure in POSCAR format:
```
SrHo2RuN4
1.0
1.7327 -5.9443 0.0000
1.7327 5.9443 0.0000
0.0000 0.0000 11.7533
Sr Ho Ru N
2 4 2 8
Cartesian
1.7327 4.6499 8.8150
1.7327 -4.6499 2.9383
1.7327 1.5594 6.3161
1.7327 1.5594 11.3138
1.7327 -1.5594 0.4395
1.7327 -1.5594 5.4372
1.7327 4.0795 2.9383
1.7327 -4.0795 8.8150
0.0000 0.0000 0.0000
0.0000 0.0000 5.8766
1.7327 2.8793 1.3940
1.7327 2.8793 4.4826
1.7327 0.9522 8.8150
1.7327 -0.9522 2.9383
1.7327 -2.8793 7.2707
1.7327 -2.8793 10.3592
```

Energy relative to the elements, uncorrected ... -21.06 kcal/mol of atoms
DOS(E_F) ... 6.44 states/eV/cell
Total energy ... -7.59 eV per atom
Calculated volume ... 242.1 Å³ per cell
Size of the total moment ... 0.0 μB per formula unit


This record from Alexandria via LeMat-Bulk describes an optimized crystal structure of Ba2NiP. The functional is PBE.

The structure in POSCAR format:
```
Ba2NiP
1.0
3.6217 -2.0907 0.0000
3.6217 2.0907 0.0000
-2.3997 0.0000 8.6878
Ba Ni P
2 1 1
Cartesian
0.0000 0.0000 0.0000
0.0003 0.0000 4.2545
4.8284 0.0000 2.1281
2.4138 0.0000 2.1239
```

E_form ... -0.61 eV per atom
DOS(E_F) ... 2.80 states/eV/cell
Total energy ... -4.36 eV per atom
Calculated volume ... 131.6 Å³ per cell
Size of the total moment ... 0.0 μB per formula unit


This record from Alexandria via LeMat-Bulk describes an optimized crystal structure of SrBiAu10. The functional is PBE.

The structure in POSCAR format:
```
SrBiAu10
1.0
4.6527 0.0000 0.0000
0.0000 5.6838 0.0000
0.0000 0.0000 9.8525
Sr Bi Au
1 1 10
Cartesian
0.0000 0.0000 0.0000
0.0000 2.8419 4.9262
0.0000 0.0000 3.3494
0.0000 0.0000 6.5031
0.0000 2.8419 1.6953
0.0000 2.8419 8.1572
2.3263 0.0000 4.9262
2.3263 1.4086 2.4422
2.3263 1.4086 7.4103
2.3263 2.8419 0.0000
2.3263 4.2752 2.4422
2.3263 4.2752 7.4103
```

E_form ... -0.21 eV per atom
DOS(E_F) ... 4.35 states/eV/cell
Total energy ... -3.40 eV per atom
Calculated volume ... 260.5 Å³ per cell
Size of the total moment ... 0.0 μB per formula unit


This record from Alexandria via LeMat-Bulk describes an optimized crystal structure of Tb5CeHo. The functional is PBE.

The structure in POSCAR format:
```
Tb5CeHo
1.0
6.1453 0.0000 0.0000
-1.0277 6.0658 0.0000
-1.0369 -1.2154 5.9446
Tb Ce Ho
5 1 1
Cartesian
0.0000 0.0000 0.0000
-0.0256 3.1132 1.7176
1.0124 3.2715 5.1057
3.0931 1.5770 0.8840
3.0756 4.6922 2.5976
4.0894 1.7348 4.2717
1.0222 0.1970 3.4327
```

E_form ... 0.05 eV per atom
DOS(E_F) ... 12.73 states/eV/cell
Total energy ... -4.76 eV per atom
Calculated volume ... 221.6 Å³ per cell
Size of the total moment ... 1.1 μB per formula unit